No. 1
Crystalline LiFePt2 at its relaxed geometry, computed with PBE.

## Properties
DFT formation energy: -6.64 kcal/mol of atoms
Total magnetic moment: 0.842 μB/atom
E_tot: -5.902 eV per atom

Cell lengths 4.519, 4.519, 4.845 Å; angles 81.04, 81.04, 35.43 degrees
Positions (direct):
Pt 0.997 0.997 0.000
Pt 0.503 0.503 0.500
Fe 0.250 0.250 0.250
Li 0.750 0.750 0.750

No. 2
Crystalline Ce2UCuSe5 at its relaxed geometry, computed with PBE.

## Properties
ΔE_f (raw): -1.36 eV/atom
Total magnetic moment: 0.524 μB/atom
E_tot: -6.321 eV per atom

Cell lengths 4.029, 8.879, 12.505 Å; angles 90.00, 90.00, 103.11 degrees
Positions (direct):
U 0.818 0.635 0.525
U 0.182 0.365 0.025
Ce 0.881 0.761 0.195
Ce 0.889 0.777 0.847
Ce 0.111 0.223 0.347
Ce 0.119 0.239 0.695
Cu 0.555 0.109 0.923
Cu 0.445 0.891 0.423
Se 0.348 0.695 0.020
Se 0.305 0.609 0.688
Se 0.695 0.391 0.188
Se 0.497 0.993 0.749
Se 0.020 0.039 0.019
Se 0.503 0.007 0.249
Se 0.980 0.961 0.519
Se 0.652 0.305 0.520
Se 0.690 0.380 0.860
Se 0.310 0.620 0.360

No. 3
Crystalline Ho7Mg2Co2 at its relaxed geometry, computed with PBE.

## Properties
DFT formation energy: -2.24 kcal/mol of atoms
Total magnetic moment: 0.000 μB/atom
E_tot: -4.592 eV per atom

Cell lengths 9.905, 9.905, 9.905 Å; angles 159.40, 122.01, 62.22 degrees
Positions (direct):
Ho 0.083 0.181 0.902
Ho 0.406 0.151 0.255
Ho 0.104 0.849 0.255
Ho 0.741 0.650 0.091
Ho 0.722 0.819 0.902
Ho 0.441 0.350 0.091
Ho 0.028 0.500 0.528
Mg 0.384 0.500 0.884
Mg 0.733 0.000 0.733
Co 0.871 0.265 0.606
Co 0.341 0.735 0.606

No. 4
Crystalline Li5Pd12Se3 at its relaxed geometry, computed with PBE.

## Properties
ΔE_f (raw): 0.10 eV/atom
Total magnetic moment: 0.000 μB/atom
E_tot: -4.017 eV per atom

Cell lengths 12.302, 12.302, 12.302 Å; angles 109.47, 109.47, 109.47 degrees
Positions (direct):
Pd 0.167 0.104 0.725
Pd 0.725 0.604 0.167
Pd 0.775 0.333 0.896
Pd 0.604 0.879 0.437
Pd 0.667 0.225 0.604
Pd 0.725 0.121 0.058
Pd 0.937 0.833 0.558
Pd 0.333 0.558 0.437
Pd 0.058 0.621 0.725
Pd 0.379 0.437 0.104
Pd 0.833 0.937 0.058
Pd 0.121 0.725 0.558
Pd 0.604 0.725 0.667
Pd 0.058 0.437 0.833
Pd 0.104 0.167 0.225
Pd 0.225 0.667 0.104
Pd 0.896 0.063 0.621
Pd 0.558 0.333 0.937
Pd 0.121 0.396 0.063
Pd 0.333 0.775 0.396
Pd 0.563 0.942 0.667
Pd 0.879 0.275 0.442
Pd 0.167 0.063 0.942
Pd 0.396 0.121 0.563
Pd 0.775 0.442 0.379
Pd 0.063 0.896 0.121
Pd 0.442 0.667 0.063
Pd 0.225 0.558 0.621
Pd 0.396 0.275 0.333
Pd 0.896 0.833 0.775
Pd 0.437 0.379 0.604
Pd 0.667 0.442 0.563
Pd 0.275 0.879 0.942
Pd 0.442 0.775 0.879
Pd 0.879 0.604 0.937
Pd 0.563 0.621 0.396
Pd 0.379 0.942 0.775
Pd 0.275 0.396 0.833
Pd 0.833 0.896 0.275
Pd 0.621 0.563 0.896
Pd 0.063 0.167 0.442
Pd 0.937 0.104 0.879
Pd 0.558 0.225 0.121
Pd 0.621 0.058 0.225
Pd 0.104 0.937 0.379
Pd 0.437 0.058 0.333
Pd 0.942 0.563 0.167
Pd 0.942 0.379 0.275
Li 0.250 0.375 0.625
Li 0.000 0.500 0.000
Li 0.875 0.625 0.750
Li 0.375 0.250 0.125
Li 0.750 0.625 0.375
Li 0.500 0.500 0.500
Li 0.000 0.000 0.000
Li 0.125 0.375 0.250
Li 0.750 0.125 0.875
Li 0.625 0.875 0.250
Li 0.000 0.000 0.500
Li 0.625 0.750 0.875
Li 0.500 0.000 0.500
Li 0.000 0.500 0.500
Li 0.500 0.000 0.000
Li 0.125 0.750 0.375
Li 0.875 0.250 0.625
Li 0.250 0.875 0.125
Li 0.375 0.125 0.750
Li 0.500 0.500 0.000
Se 0.750 0.375 0.125
Se 0.250 0.125 0.375
Se 0.875 0.750 0.125
Se 0.125 0.250 0.875
Se 0.375 0.750 0.625
Se 0.875 0.125 0.250
Se 0.250 0.625 0.875
Se 0.375 0.625 0.250
Se 0.625 0.375 0.750
Se 0.125 0.875 0.750
Se 0.750 0.875 0.625
Se 0.625 0.250 0.375